A plane-wave DFT calculation with PBE+U was carried out for crystalline MnIN2O at its relaxed geometry.

Unit cell a=4.066 b=4.066 c=4.035 alpha=90.00 beta=90.00 gamma=90.00
Element x y z (fractional)
I 0.000 0.000 0.000
Mn 0.500 0.500 0.500
O 0.000 0.000 0.500
N 0.000 0.500 0.000
N 0.500 0.000 0.000

Output
Uncorrected energy, eV/atom: -4.940
Size of the total moment, μB/f.u.: 4.797